[1]
# AlSiRh2 PBE optimized geometry
# - Raw total energy: -6.66 eV per atom
# - Theoretical density: 7.8 g cm⁻³
# - Raw formation energy: -0.69 eV/atom
# - Magnetic moment: 0.00 μB/f.u.
data_AlSiRh2
_symmetry_space_group_name_H-M 'R -3 m'
_symmetry_Int_Tables_number 166
_symmetry_space_group_name_Hall '-R 3 2"'
_cell_length_a 2.8927
_cell_length_b 2.8927
_cell_length_c 23.0756
_cell_angle_alpha 90.00
_cell_angle_beta 90.00
_cell_angle_gamma 120.00
loop_
_atom_site_label
_atom_site_fract_x
_atom_site_fract_y
_atom_site_fract_z
Al1 0.0000 0.0000 0.0000
Si1 0.0000 0.0000 0.5000
Rh1 0.0000 0.0000 0.2458



[2]
# GdPuMnCo PBE optimized geometry
# - Raw total energy: -11.11 eV per atom
# - DFT formation energy: 0.063 eV/atom
# - Theoretical density: 11.1 g cm⁻³
# - Magnetic moment: 9.06 μB/f.u.
data_GdPuMnCo
_symmetry_space_group_name_H-M 'F -4 3 m'
_symmetry_Int_Tables_number 216
_symmetry_space_group_name_Hall 'F -4 2 3'
_cell_length_a 6.756
_cell_length_b 6.756
_cell_length_c 6.756
_cell_angle_alpha 90.00
_cell_angle_beta 90.00
_cell_angle_gamma 90.00
loop_
_atom_site_label
_atom_site_fract_x
_atom_site_fract_y
_atom_site_fract_z
Gd1 0.000 0.000 0.000
Pu1 0.000 0.000 0.500
Mn1 0.250 0.250 0.750
Co1 0.250 0.250 0.250



[3]
# YV2As PBE optimized geometry
# - Raw total energy: -7.31 eV per atom
# - DFT formation energy: 0.032 eV/atom
# - Theoretical density: 5.5 g cm⁻³
# - Magnetic moment: 0.00 μB/f.u.
data_YV2As
_symmetry_space_group_name_H-M 'I -4 2 d'
_symmetry_Int_Tables_number 122
_symmetry_space_group_name_Hall 'I -4 2bw'
_cell_length_a 4.167
_cell_length_b 4.167
_cell_length_c 18.542
_cell_angle_alpha 90.00
_cell_angle_beta 90.00
_cell_angle_gamma 90.00
loop_
_atom_site_label
_atom_site_fract_x
_atom_site_fract_y
_atom_site_fract_z
Y1 0.000 0.000 0.000
V1 0.081 0.250 0.625
As1 0.000 0.000 0.500



[4]
# LaPm3Dy6Tm2 PBE optimized geometry
# - Raw total energy: -4.62 eV per atom
# - DFT formation energy: 0.020 eV/atom
# - Theoretical density: 8.1 g cm⁻³
# - Magnetic moment: 0.00 μB/f.u.
data_LaPm3Dy6Tm2
_symmetry_space_group_name_H-M 'C 1 2/m 1'
_symmetry_Int_Tables_number 12
_cell_length_a 6.200
_cell_length_b 10.733
_cell_length_c 11.861
_cell_angle_alpha 90.00
_cell_angle_beta 100.00
_cell_angle_gamma 90.00
loop_
_symmetry_equiv_pos_as_xyz
'x,y,z'
'-x,-y,-z'
'-x,y,-z'
'x,-y,z'
'x+1/2,y+1/2,z'
'-x+1/2,-y+1/2,-z'
'-x+1/2,y+1/2,-z'
'x+1/2,-y+1/2,z'
loop_
_atom_site_label
_atom_site_fract_x
_atom_site_fract_y
_atom_site_fract_z
La1 0.000 0.000 0.000
Pm1 0.000 0.167 0.500
Pm2 0.000 0.500 0.500
Dy1 0.248 0.500 0.249
Dy2 0.250 0.167 0.249
Tm1 0.000 0.333 0.000



[5]
# CaUS2 PBE optimized geometry
# - Raw total energy: -6.55 eV per atom
# - Theoretical density: 5.4 g cm⁻³
# - Raw formation energy: -1.17 eV/atom
# - Magnetic moment: 3.92 μB/f.u.
# - Relative energy among the computed polymorphs: 459 meV per atom
data_CaUS2
_symmetry_space_group_name_H-M 'I -4 2 d'
_symmetry_Int_Tables_number 122
_symmetry_space_group_name_Hall 'I -4 2bw'
_cell_length_a 7.772
_cell_length_b 7.772
_cell_length_c 13.951
_cell_angle_alpha 90.00
_cell_angle_beta 90.00
_cell_angle_gamma 90.00
loop_
_atom_site_label
_atom_site_fract_x
_atom_site_fract_y
_atom_site_fract_z
Ca1 0.104 0.250 0.125
U1 0.098 0.750 0.625
S1 0.147 0.650 0.001



[6]
# Sr2LiAu2 PBE optimized geometry
# - Raw total energy: -3.02 eV per atom
# - DFT formation energy: -0.649 eV/atom
# - Theoretical density: 7.0 g cm⁻³
# - Magnetic moment: 0.00 μB/f.u.
# - Relative energy among the computed polymorphs: 0 meV per atom
data_Sr2LiAu2
_symmetry_space_group_name_H-M 'C 1 2/m 1'
_symmetry_Int_Tables_number 12
_cell_length_a 11.876
_cell_length_b 4.532
_cell_length_c 11.577
_cell_angle_alpha 90.00
_cell_angle_beta 118.82
_cell_angle_gamma 90.00
loop_
_symmetry_equiv_pos_as_xyz
'x,y,z'
'-x,-y,-z'
'-x,y,-z'
'x,-y,z'
'x+1/2,y+1/2,z'
'-x+1/2,-y+1/2,-z'
'-x+1/2,y+1/2,-z'
'x+1/2,-y+1/2,z'
loop_
_atom_site_label
_atom_site_fract_x
_atom_site_fract_y
_atom_site_fract_z
Sr1 0.003 0.000 0.333
Sr2 0.186 0.000 0.108
Li1 0.219 0.500 0.374
Au1 0.017 0.500 0.881
Au2 0.145 0.500 0.570